No. 1
# HfNb2Ge2 (PBE, optimized geometry)
data_HfNb2Ge2
_chemical_formula_sum 'Hf2 Nb4 Ge4'
_cell_length_a 7.009
_cell_length_b 7.009
_cell_length_c 3.555
_cell_angle_alpha 90.00
_cell_angle_beta 90.00
_cell_angle_gamma 90.00
_space_group_name_H-M_alt 'P 4/m b m'
_space_group_IT_number 127
_space_group_name_Hall '-P 4 2ab'
loop_
_atom_site_label
_atom_site_fract_x
_atom_site_fract_y
_atom_site_fract_z
_atom_site_occupancy
Hf1 0.000 0.000 0.000 1
Nb1 0.169 0.331 0.500 1
Ge1 0.131 0.631 0.000 1
# - relative energy among the computed polymorphs (eV per atom) = 0.000

***

No. 2
# HfNb2Ge2 (PBE, optimized geometry)
data_HfNb2Ge2
_chemical_formula_sum 'Hf2 Nb4 Ge4'
_cell_length_a 3.952
_cell_length_b 3.952
_cell_length_c 11.819
_cell_angle_alpha 90.00
_cell_angle_beta 90.00
_cell_angle_gamma 90.00
_space_group_name_H-M_alt 'I 4/m m m'
_space_group_IT_number 139
_space_group_name_Hall '-I 4 2'
loop_
_atom_site_label
_atom_site_fract_x
_atom_site_fract_y
_atom_site_fract_z
_atom_site_occupancy
Hf1 0.000 0.000 0.000 1
Nb1 0.000 0.500 0.250 1
Ge1 0.000 0.000 0.400 1
# - relative energy among the computed polymorphs (eV per atom) = 0.240

***

No. 3
A geometry-optimized HfNbNi2Ge4 structure. Source: OQMD via LeMat-Bulk, functional PBE.

CIF file:
```
data_HfNbNi2Ge4
_chemical_formula_sum 'Hf1 Nb1 Ni2 Ge4'
_cell_length_a 3.759
_cell_length_b 3.759
_cell_length_c 8.861
_cell_angle_alpha 90.00
_cell_angle_beta 90.00
_cell_angle_gamma 90.00
_space_group_name_H-M_alt 'P 4 m m'
_space_group_IT_number 99
loop_
_space_group_symop_operation_xyz
'x,y,z'
'-y,x,z'
'-x,-y,z'
'y,-x,z'
'-x,y,z'
'y,x,z'
'x,-y,z'
'-y,-x,z'
loop_
_atom_site_label
_atom_site_fract_x
_atom_site_fract_y
_atom_site_fract_z
_atom_site_occupancy
Hf1 0.000 0.000 0.000 1
Nb1 0.500 0.500 0.523 1
Ni1 0.000 0.500 0.261 1
Ge1 0.000 0.000 0.431 1
Ge2 0.000 0.500 0.756 1
Ge3 0.500 0.500 0.096 1
```

***

No. 4
A geometry-optimized HfNbGe2Sb2 structure. Source: OQMD via LeMat-Bulk, functional PBE.

CIF file:
```
data_HfNbGe2Sb2
_chemical_formula_sum 'Hf1 Nb1 Ge2 Sb2'
_cell_length_a 3.790
_cell_length_b 3.790
_cell_length_c 8.456
_cell_angle_alpha 90.00
_cell_angle_beta 90.00
_cell_angle_gamma 90.00
_space_group_name_H-M_alt 'P 4 m m'
_space_group_IT_number 99
loop_
_space_group_symop_operation_xyz
'x,y,z'
'-y,x,z'
'-x,-y,z'
'y,-x,z'
'-x,y,z'
'y,x,z'
'x,-y,z'
'-y,-x,z'
loop_
_atom_site_label
_atom_site_fract_x
_atom_site_fract_y
_atom_site_fract_z
_atom_site_occupancy
Hf1 0.000 0.000 0.000 1
Nb1 0.500 0.500 0.506 1
Ge1 0.000 0.500 0.747 1
Sb1 0.000 0.000 0.368 1
Sb2 0.500 0.500 0.143 1
```

***

No. 5
A geometry-optimized HfZrNb2Ge2 structure. Source: OQMD via LeMat-Bulk, functional PBE.

CIF file:
```
data_HfZrNb2Ge2
_chemical_formula_sum 'Hf2 Zr2 Nb4 Ge4'
_cell_length_a 3.879
_cell_length_b 3.879
_cell_length_c 14.926
_cell_angle_alpha 90.00
_cell_angle_beta 90.00
_cell_angle_gamma 90.00
_space_group_name_H-M_alt 'I 4 m m'
_space_group_IT_number 107
_space_group_name_Hall 'I 4 -2'
loop_
_atom_site_label
_atom_site_fract_x
_atom_site_fract_y
_atom_site_fract_z
_atom_site_occupancy
Hf1 0.000 0.000 0.000 1
Zr1 0.000 0.000 0.646 1
Nb1 0.000 0.500 0.323 1
Ge1 0.000 0.000 0.187 1
Ge2 0.000 0.000 0.459 1
```

***

No. 6
A geometry-optimized Hf2NiGe2 structure. Source: OQMD via LeMat-Bulk, functional PBE.

CIF file:
```
data_Hf2NiGe2
_chemical_formula_sum 'Hf4 Ni2 Ge4'
_cell_length_a 4.282
_cell_length_b 4.282
_cell_length_c 11.222
_cell_angle_alpha 90.00
_cell_angle_beta 90.00
_cell_angle_gamma 90.00
_space_group_name_H-M_alt 'I 4/m m m'
_space_group_IT_number 139
_space_group_name_Hall '-I 4 2'
loop_
_atom_site_label
_atom_site_fract_x
_atom_site_fract_y
_atom_site_fract_z
_atom_site_occupancy
Hf1 0.000 0.500 0.250 1
Ni1 0.000 0.000 0.000 1
Ge1 0.000 0.000 0.397 1
```

***

VASP energy (eV per cell)
-84.3 -81.9 -53.2 -40.0 -103.7 -65.9